# 1
Density functional theory data (PBE-GGA) for an optimized crystal structure of Mn2TlRe.

Values from the calculation:
Space-group type: No. 47
Offset from the most stable computed form: 45.1 meV per atom

Unit cell a=2.971 b=3.557 c=5.880 alpha=90.00 beta=90.00 gamma=90.00
Each line ends with the local moment (μB).
Atoms (fractional coordinates):
1 Mn 0.000 0.000 0.043  2.29
2 Mn 0.000 0.000 0.457  2.29
3 Re 0.500 0.500 0.250  -0.44
4 Tl 0.500 0.500 0.750  -0.06

# 2
Density functional theory data (PBE-GGA) for an optimized crystal structure of MnTl2Re.

Values from the calculation:
Space-group type: No. 6
Offset from the most stable computed form: 0.0 meV per atom

Unit cell a=3.021 b=2.995 c=8.833 alpha=80.15 beta=90.00 gamma=90.00
Each line ends with the local moment (μB).
Atoms (fractional coordinates):
1 Mn 0.000 0.413 0.549  0.54
2 Re 0.500 0.841 0.692  -0.14
3 Tl 0.000 0.207 0.955  -0.01
4 Tl 0.500 0.039 0.304  0.00

# 3
Density functional theory data (PBE-GGA) for an optimized crystal structure of MnTl2Re.

Values from the calculation:
Space-group type: No. 122
Offset from the most stable computed form: 704.1 meV per atom

Unit cell a=7.534 b=7.534 c=6.081 alpha=51.73 beta=51.73 gamma=90.00
Each line ends with the local moment (μB).
Atoms (fractional coordinates):
1 Re 0.000 0.000 0.000  0.81
2 Re 0.750 0.250 0.500  0.81
3 Tl 0.621 0.125 0.250  -0.07
4 Tl 0.129 0.625 0.250  -0.07
5 Tl 0.375 0.379 0.750  -0.06
6 Tl 0.875 0.871 0.750  -0.07
7 Mn 0.500 0.500 0.000  3.60
8 Mn 0.250 0.750 0.500  3.60

# 4
Density functional theory data (PBE-GGA) for an optimized crystal structure of Mn2TlRe.

Values from the calculation:
Space-group type: No. 12
Offset from the most stable computed form: 235.6 meV per atom

Unit cell a=4.528 b=4.528 c=5.277 alpha=82.15 beta=82.15 gamma=37.87
Each line ends with the local moment (μB).
Atoms (fractional coordinates):
1 Mn 0.005 0.005 0.959  2.99
2 Mn 0.495 0.495 0.541  2.99
3 Re 0.750 0.750 0.750  -0.58
4 Tl 0.250 0.250 0.250  -0.05

# 5
Density functional theory data (PBE-GGA) for an optimized crystal structure of MnTlRe2.

Values from the calculation:
Space-group type: No. 99
Offset from the most stable computed form: 0.0 meV per atom

Unit cell a=2.985 b=2.985 c=7.778 alpha=90.00 beta=90.00 gamma=90.00
Each line ends with the local moment (μB).
Atoms (fractional coordinates):
1 Mn 0.500 0.500 0.783  3.56
2 Re 0.000 0.000 0.012  -0.06
3 Re 0.500 0.500 0.206  0.11
4 Tl 0.000 0.000 0.499  -0.03

# 6
Density functional theory data (PBE-GGA) for an optimized crystal structure of Mn4TlRe.

Values from the calculation:
Space-group type: No. 216

Unit cell a=4.842 b=4.842 c=4.842 alpha=60.00 beta=60.00 gamma=60.00
Each line ends with the local moment (μB).
Atoms (fractional coordinates):
1 Mn 0.874 0.375 0.375  1.39
2 Mn 0.375 0.375 0.874  1.39
3 Mn 0.375 0.874 0.375  1.39
4 Mn 0.375 0.375 0.375  1.39
5 Tl 0.000 0.000 0.000  -0.04
6 Re 0.750 0.750 0.750  -0.45

# 7
Density functional theory data (PBE-GGA) for an optimized crystal structure of Mn2TlRe.

Values from the calculation:
Space-group type: No. 139
Offset from the most stable computed form: 227.3 meV per atom

Unit cell a=4.714 b=4.714 c=4.714 alpha=129.34 beta=129.34 gamma=74.47
Each line ends with the local moment (μB).
Atoms (fractional coordinates):
1 Mn 0.000 0.000 0.000  2.54
2 Mn 0.500 0.500 0.000  2.54
3 Re 0.250 0.750 0.500  -0.39
4 Tl 0.750 0.250 0.500  -0.05

# 8
Density functional theory data (PBE-GGA) for an optimized crystal structure of MnTlRe2.

Values from the calculation:
Space-group type: No. 12
Offset from the most stable computed form: 159.6 meV per atom

Unit cell a=4.933 b=4.933 c=4.823 alpha=77.19 beta=77.19 gamma=34.22
Each line ends with the local moment (μB).
Atoms (fractional coordinates):
1 Mn 0.250 0.250 0.250  2.31
2 Re 0.980 0.980 0.035  -0.27
3 Re 0.520 0.520 0.465  -0.27
4 Tl 0.750 0.750 0.750  -0.03

# 9
Density functional theory data (PBE-GGA) for an optimized crystal structure of MnTl2Re.

Values from the calculation:
Space-group type: No. 225
Offset from the most stable computed form: 768.7 meV per atom

Unit cell a=4.649 b=4.649 c=4.649 alpha=60.00 beta=60.00 gamma=60.00
Atoms (fractional coordinates):
1 Re 0.500 0.500 0.500
2 Tl 0.250 0.250 0.250
3 Tl 0.750 0.750 0.750
4 Mn 0.000 0.000 0.000

# 10
Density functional theory data (PBE-GGA) for an optimized crystal structure of MnTl2Re.

Values from the calculation:
Space-group type: No. 216
Offset from the most stable computed form: 643.7 meV per atom

Unit cell a=4.810 b=4.810 c=4.810 alpha=60.00 beta=60.00 gamma=60.00
Each line ends with the local moment (μB).
Atoms (fractional coordinates):
1 Mn 0.500 0.500 0.500  3.47
2 Re 0.750 0.750 0.750  -0.99
3 Tl 0.000 0.000 0.000  0.02
4 Tl 0.250 0.250 0.250  -0.02

# 11
Density functional theory data (PBE-GGA) for an optimized crystal structure of MnTl2Re.

Values from the calculation:
Space-group type: No. 123
Offset from the most stable computed form: 453.2 meV per atom

Unit cell a=3.617 b=4.553 c=4.553 alpha=90.00 beta=90.00 gamma=90.00
Each line ends with the local moment (μB).
Atoms (fractional coordinates):
1 Mn 0.500 0.500 0.000  3.50
2 Re 0.500 0.000 0.500  -0.01
3 Tl 0.000 0.000 0.000  -0.03
4 Tl 0.000 0.500 0.500  -0.03

# 12
Density functional theory data (PBE-GGA) for an optimized crystal structure of Mn2TlRe.

Values from the calculation:
Space-group type: No. 123
Offset from the most stable computed form: 192.5 meV per atom

Unit cell a=4.548 b=4.548 c=3.058 alpha=90.00 beta=90.00 gamma=90.00
Each line ends with the local moment (μB).
Atoms (fractional coordinates):
1 Mn 0.000 0.000 0.000  3.11
2 Mn 0.500 0.500 0.000  3.11
3 Re 0.500 0.000 0.500  -0.31
4 Tl 0.000 0.500 0.500  -0.07

Values of raw total energy, in order: -7.84, -6.08, -5.38, -7.65, -8.66, -8.17, -7.66, -8.51, -5.31, -5.44, -5.63, -7.69, all in eV/atom.
Values of energy of formation, in order: 0.450, 0.506, 1.211, 0.641, 0.443, 0.409, 0.632, 0.603, 1.275, 1.150, 0.960, 0.597, all in eV/atom.